# 1
GdPbAu: relaxed, PBE-GGA.

Unit cell a=4.841 b=4.841 c=4.841 alpha=120.00 beta=90.00 gamma=120.00
Element x y z (fractional)
Pb1 0.000 0.000 0.000
Au1 0.750 0.500 0.250
Gd1 0.500 0.000 0.500

Results
Total DFT energy (no corrections) (eV per atom): -4.5735



# 2
LuMg2Nb: relaxed, PBE-GGA.

Unit cell a=5.015 b=5.015 c=5.015 alpha=60.00 beta=60.00 gamma=60.00
Site moments in Bohr magnetons follow the coordinates.
Element x y z (fractional)
Mg1 0.750 0.750 0.750  -0.01
Mg2 0.000 0.000 0.000  -0.01
Nb1 0.500 0.500 0.500  1.71
Lu1 0.250 0.250 0.250  0.33

Results
Total DFT energy (no corrections) (eV per atom): -4.0758



# 3
Li8Ta4O11: relaxed, PBE-GGA.

Unit cell a=10.264 b=5.125 c=5.191 alpha=99.14 beta=98.99 gamma=118.84
Element x y z (fractional)
Li1 0.827 0.339 0.504
Li2 0.992 0.988 0.496
Li3 0.499 0.993 0.498
Li4 0.673 0.660 0.500
Li5 0.336 0.345 0.498
Li6 0.170 0.664 0.503
Li7 0.751 0.504 0.999
Li8 0.252 0.504 0.985
Ta1 0.426 0.152 0.999
Ta2 0.080 0.859 0.007
Ta3 0.576 0.850 0.998
Ta4 0.927 0.159 0.005
O1 0.629 0.257 0.264
O2 0.874 0.746 0.745
O3 0.368 0.737 0.732
O4 0.207 0.068 0.776
O5 0.032 0.405 0.772
O6 0.700 0.057 0.762
O7 0.971 0.590 0.236
O8 0.465 0.585 0.227
O9 0.792 0.935 0.232
O10 0.294 0.936 0.231
O11 0.531 0.410 0.767

Results
Total DFT energy (no corrections) (eV per atom): -7.2967



# 4
Zn2Ir7: relaxed, PBE-GGA.

Unit cell a=2.730 b=2.730 c=31.292 alpha=90.00 beta=90.00 gamma=120.00
Element x y z (fractional)
Ir1 0.000 0.000 0.500
Ir2 0.000 0.000 0.714
Ir3 0.333 0.667 0.428
Ir4 0.667 0.333 0.357
Ir5 0.000 0.000 0.286
Ir6 0.667 0.333 0.572
Ir7 0.333 0.667 0.643
Zn1 0.333 0.667 0.215
Zn2 0.667 0.333 0.785

Results
ΔH_f (0 K) (eV/atom): 0.035



# 5
Ba2PrIrO6: relaxed, PBE-GGA.

Unit cell a=6.019 b=6.019 c=8.544 alpha=90.00 beta=90.00 gamma=90.00
Site moments in Bohr magnetons follow the coordinates.
Element x y z (fractional)
Ba1 0.500 0.000 0.250  0.01
Ba2 0.000 0.500 0.750  0.01
Ba3 0.000 0.500 0.250  0.01
Ba4 0.500 0.000 0.750  0.01
O1 0.248 0.709 0.500  0.10
O2 0.291 0.248 0.500  0.11
O3 0.500 0.500 0.270  0.10
O4 0.500 0.500 0.730  0.10
O5 0.791 0.252 0.000  0.10
O6 0.209 0.748 0.000  0.10
O7 0.752 0.291 0.500  0.10
O8 0.748 0.791 0.000  0.12
O9 0.252 0.209 0.000  0.12
O10 0.000 0.000 0.230  0.10
O11 0.709 0.752 0.500  0.11
O12 0.000 0.000 0.770  0.10
Pr1 0.500 0.500 0.000  -0.01
Pr2 0.000 0.000 0.500  -0.01
Ir1 0.000 0.000 0.000  1.15
Ir2 0.500 0.500 0.500  1.13

Results
Total DFT energy (no corrections) (eV per atom): -6.9632



# 6
NaPmZn: relaxed, PBE-GGA.

Unit cell a=5.043 b=5.043 c=5.043 alpha=60.00 beta=60.00 gamma=60.00
Element x y z (fractional)
Zn1 0.750 0.750 0.750
Pm1 0.000 0.000 0.000
Na1 0.250 0.250 0.250

Results
Offset from the most stable computed form (eV/atom): 0.335



# 7
Re8W7: relaxed, PBE-GGA.

Unit cell a=9.661 b=9.661 c=5.027 alpha=90.00 beta=90.00 gamma=90.00
Element x y z (fractional)
Re1 0.684 0.316 0.750
Re2 0.761 0.567 0.500
Re3 0.261 0.933 0.000
Re4 0.316 0.684 0.250
Re5 0.933 0.261 0.000
Re6 0.316 0.684 0.750
Re7 0.184 0.184 0.250
Re8 0.067 0.739 0.000
Re9 0.816 0.816 0.750
Re10 0.739 0.067 0.000
Re11 0.239 0.433 0.500
Re12 0.433 0.239 0.500
Re13 0.816 0.816 0.250
Re14 0.684 0.316 0.250
Re15 0.184 0.184 0.750
Re16 0.567 0.761 0.500
W1 0.369 0.964 0.500
W2 0.601 0.601 0.000
W3 0.131 0.464 0.000
W4 0.899 0.101 0.500
W5 0.101 0.899 0.500
W6 0.000 0.000 0.000
W7 0.036 0.631 0.500
W8 0.964 0.369 0.500
W9 0.536 0.869 0.000
W10 0.464 0.131 0.000
W11 0.631 0.036 0.500
W12 0.500 0.500 0.500
W13 0.399 0.399 0.000
W14 0.869 0.536 0.000

Results
Offset from the most stable computed form (eV/atom): 0.000
ΔH_f (0 K) (eV/atom): 0.060



# 8
BeZn2Pt: relaxed, PBE-GGA.

Unit cell a=4.192 b=4.192 c=4.192 alpha=60.00 beta=60.00 gamma=60.00
Element x y z (fractional)
Be1 0.500 0.500 0.500
Zn1 0.000 0.000 0.000
Zn2 0.750 0.750 0.750
Pt1 0.250 0.250 0.250

Results
Total DFT energy (no corrections) (eV per atom): -3.3564



| no. | total moment (μB/atom) | calculated volume (Å³/cell) |
| --- | --- | --- |
| 1 | 0.000 | 80 |
| 2 | 0.593 | 89 |
| 3 | 0.000 | 227 |
| 4 | 0.000 | 202 |
| 5 | 0.200 | 310 |
| 6 | 0.003 | 91 |
| 7 | 0.001 | 469 |
| 8 | 0.000 | 52 |